Version 1
The following is a PBE calculation of a geometry-optimized Er3AgAu structure, from Alexandria via LeMat-Bulk.

abc: 3.729 9.147 9.151
angles: 62.84 90.00 90.00
Sites, in units of the cell vectors:
Er1 0.864 0.995 0.666
Er2 0.863 0.775 0.445
Er3 0.363 0.344 0.396
Er4 0.363 0.045 0.097
Er5 0.864 0.393 0.827
Er6 0.863 0.613 0.048
Ag1 0.863 0.194 0.247
Ag2 0.363 0.694 0.746
Au1 0.363 0.694 0.246
Au2 0.364 0.194 0.747

M_tot	0.0	μB/f.u.


Version 2
The following is a PBE calculation of a geometry-optimized Er3AgAu structure, from Alexandria via LeMat-Bulk.

abc: 5.030 5.031 10.078
angles: 90.00 75.55 90.00
Sites, in units of the cell vectors:
Er1 0.260 0.750 0.128
Er2 0.759 0.250 0.131
Er3 0.388 0.250 0.872
Er4 0.574 0.250 0.501
Er5 0.074 0.750 0.499
Er6 0.889 0.750 0.869
Ag1 0.167 0.250 0.314
Ag2 0.481 0.750 0.686
Au1 0.984 0.250 0.680
Au2 0.664 0.750 0.320

M_tot	0.4	μB/f.u.


Name the most stable of them. version 2.


Version 1
The following is a PBE calculation of a geometry-optimized Er4AgAu2 structure, from Alexandria via LeMat-Bulk.

abc: 4.998 4.998 8.689
angles: 73.29 73.29 60.00
Sites, in units of the cell vectors:
Er1 0.874 0.874 0.379
Er2 0.623 0.623 0.131
Er3 0.126 0.126 0.621
Er4 0.377 0.377 0.869
Au1 0.753 0.753 0.740
Au2 0.247 0.247 0.260
Ag1 0.000 0.000 0.000

M_tot	0.0	μB/f.u.


Version 2
The following is a PBE calculation of a geometry-optimized Er4AgAu2 structure, from Alexandria via LeMat-Bulk.

abc: 4.786 4.786 9.877
angles: 75.98 75.98 60.00
Sites, in units of the cell vectors:
Er1 0.297 0.297 0.109
Er2 0.703 0.703 0.891
Er3 0.117 0.117 0.649
Er4 0.883 0.883 0.351
Au1 0.401 0.401 0.798
Au2 0.599 0.599 0.202
Ag1 0.500 0.500 0.500

M_tot	0.0	μB/f.u.


Name the most stable of them. version 1.


Version 1
The following is a PBE calculation of a geometry-optimized ErAgHgAu structure, from Alexandria via LeMat-Bulk.

abc: 4.630 4.630 5.120
angles: 116.89 116.88 90.00
Sites, in units of the cell vectors:
Hg1 0.500 0.500 0.000
Ag1 0.750 0.250 0.500
Er1 0.250 0.750 0.500
Au1 0.000 0.000 0.000

M_tot	0.0	μB/f.u.


Version 2
The following is a PBE calculation of a geometry-optimized ErAgHgAu structure, from Alexandria via LeMat-Bulk.

abc: 4.924 4.924 4.924
angles: 60.00 60.00 60.00
Sites, in units of the cell vectors:
Er1 0.750 0.750 0.750
Au1 0.500 0.500 0.500
Hg1 0.000 0.000 0.000
Ag1 0.250 0.250 0.250

M_tot	0.0	μB/f.u.


Name the most stable of them. version 1.


Version 1
The following is a PBE calculation of a geometry-optimized ErAgPdAu structure, from Alexandria via LeMat-Bulk.

abc: 4.790 4.790 4.790
angles: 60.00 60.00 60.00
Sites, in units of the cell vectors:
Ag1 0.250 0.250 0.250
Pd1 0.000 0.000 0.000
Au1 0.500 0.500 0.500
Er1 0.750 0.750 0.750

M_tot	0.0	μB/f.u.


Version 2
The following is a PBE calculation of a geometry-optimized ErAgPdAu structure, from Alexandria via LeMat-Bulk.

abc: 4.207 4.207 5.201
angles: 113.88 113.86 90.00
Sites, in units of the cell vectors:
Pd1 0.000 0.000 0.000
Ag1 0.250 0.750 0.500
Au1 0.500 0.500 0.000
Er1 0.750 0.250 0.500

M_tot	0.0	μB/f.u.


Name the most stable of them. version 2.